Entry from OQMD: an optimized crystal structure of NaReSiW (PBE-GGA).

Computed properties:
ΔE to the lowest computed polymorph ... 0.000 kcal/mol of atoms
Symmetry ... No. 216

Unit cell a=4.3839 b=4.3839 c=4.3839 alpha=60.00 beta=60.00 gamma=60.00
Closest atoms and distances in Å follow each position.
Fractional positions:
Na 0.0000 0.0000 0.0000  4 W 2.68, 4 Si 2.68
Re 0.5000 0.5000 0.5000  4 W 2.68, 4 Si 2.68
Si 0.2500 0.2500 0.2500  4 Re 2.68, 4 Na 2.68
W 0.7500 0.7500 0.7500  4 Re 2.68, 4 Na 2.68



Entry from OQMD: an optimized crystal structure of NaReSiW (PBE-GGA).

Computed properties:
ΔE to the lowest computed polymorph ... 2.594 kcal/mol of atoms
Symmetry ... No. 216

Unit cell a=4.4003 b=4.4003 c=4.4003 alpha=60.00 beta=60.00 gamma=60.00
Closest atoms and distances in Å follow each position.
Fractional positions:
Na 0.0000 0.0000 0.0000  4 Re 2.69, 4 Si 2.69
Re 0.7500 0.7500 0.7500  4 W 2.69, 4 Na 2.69
Si 0.2500 0.2500 0.2500  4 W 2.69, 4 Na 2.69
W 0.5000 0.5000 0.5000  4 Re 2.69, 4 Si 2.69